A plane-wave DFT calculation with GGA-PBE was carried out for a geometry-optimized Tm2MgZnAu4 structure.

Structure (POSCAR):
```
Tm2MgZnAu4
1.0
2.421 1.398 7.828
-2.421 1.398 7.828
0.000 -2.796 7.828
Tm Mg Zn Au
2 1 1 4
direct
0.247 0.247 0.247
0.753 0.753 0.753
0.000 0.000 0.000
0.500 0.500 0.500
0.122 0.122 0.122
0.374 0.374 0.374
0.626 0.626 0.626
0.878 0.878 0.878
```

- DFT formation energy: -720.6 meV/atom
- Magnetization: 0.0 μB per formula unit
- Calculated density: 12.694 Mg/m³

A plane-wave DFT calculation with GGA-PBE was carried out for a geometry-optimized Mg4UAu5 structure.

Structure (POSCAR):
```
Mg4UAu5
1.0
3.284 0.000 0.000
0.000 3.284 0.000
0.000 0.000 17.547
Mg U Au
4 1 5
direct
0.000 0.000 0.095
0.000 0.000 0.284
0.000 0.000 0.716
0.000 0.000 0.905
0.000 0.000 0.500
0.500 0.500 0.000
0.500 0.500 0.189
0.500 0.500 0.380
0.500 0.500 0.620
0.500 0.500 0.811
```

- DFT formation energy: -488.0 meV/atom
- Magnetization: 2.9 μB per formula unit
- Calculated density: 11.584 Mg/m³

A plane-wave DFT calculation with GGA-PBE was carried out for a geometry-optimized MgUAu structure.

Structure (POSCAR):
```
MgUAu
1.0
1.562 -8.098 0.000
1.562 8.098 0.000
0.000 0.000 4.778
Mg U Au
2 2 2
direct
0.072 0.928 0.750
0.928 0.072 0.250
0.243 0.757 0.250
0.757 0.243 0.750
0.422 0.578 0.750
0.578 0.422 0.250
```

- DFT formation energy: -205.9 meV/atom
- Magnetization: 2.1 μB per formula unit
- Calculated density: 12.619 Mg/m³

A plane-wave DFT calculation with GGA-PBE was carried out for a geometry-optimized MgUAu2 structure.

Structure (POSCAR):
```
MgUAu2
1.0
5.281 0.000 0.000
0.000 5.281 0.000
0.000 0.000 3.014
Mg U Au
1 1 2
direct
0.000 0.000 0.000
0.500 0.500 0.000
0.000 0.500 0.500
0.500 0.000 0.500
```

- DFT formation energy: -238.3 meV/atom
- Magnetization: 3.0 μB per formula unit
- Calculated density: 12.967 Mg/m³

A plane-wave DFT calculation with GGA-PBE was carried out for a geometry-optimized MgUAu2 structure.

Structure (POSCAR):
```
MgUAu2
1.0
3.181 0.000 0.000
0.000 3.181 0.000
0.000 0.000 7.900
Mg U Au
1 1 2
direct
0.000 0.000 0.000
0.000 0.000 0.500
0.500 0.500 0.222
0.500 0.500 0.778
```

- DFT formation energy: -326.0 meV/atom
- Magnetization: 3.0 μB per formula unit
- Calculated density: 13.632 Mg/m³

A plane-wave DFT calculation with GGA-PBE was carried out for a geometry-optimized MgVAu structure.

Structure (POSCAR):
```
MgVAu
1.0
3.125 0.000 0.000
0.000 4.801 0.000
-0.014 -1.367 6.706
Mg V Au
2 2 2
direct
0.000 0.000 0.000
0.000 0.319 0.664
0.501 0.515 0.040
0.999 0.613 0.305
0.500 0.118 0.326
0.500 0.814 0.669
```

- DFT formation energy: -96.1 meV/atom
- Magnetization: 0.0 μB per formula unit
- Calculated density: 8.984 Mg/m³

A plane-wave DFT calculation with GGA-PBE was carried out for a geometry-optimized MgVAu structure.

Structure (POSCAR):
```
MgVAu
1.0
4.315 0.000 0.000
-2.157 3.737 0.000
0.000 0.000 10.729
Mg V Au
2 2 2
direct
0.000 0.000 0.250
0.000 0.000 0.750
0.000 0.000 0.000
0.000 0.000 0.500
0.333 0.667 0.250
0.667 0.333 0.750
```

- DFT formation energy: 1202.1 meV/atom
- Magnetization: 4.0 μB per formula unit
- Calculated density: 5.226 Mg/m³

A plane-wave DFT calculation with GGA-PBE was carried out for a geometry-optimized MgVAu structure.

Structure (POSCAR):
```
MgVAu
1.0
4.430 0.000 0.000
2.213 4.096 0.000
0.012 1.455 5.682
Mg V Au
2 2 2
direct
0.000 0.000 0.000
0.297 0.405 0.682
0.705 0.591 0.328
0.944 0.109 0.475
0.348 0.306 0.189
0.636 0.726 0.786
```

- DFT formation energy: -63.5 meV/atom
- Magnetization: 0.0 μB per formula unit
- Calculated density: 8.769 Mg/m³